No. 1
The following is a DFT calculation (PBE-GGA) of a relaxed structure of ErI2Cl.

Structure (CIF):
```
data_ErI2Cl
_space_group_name_H-M_alt 'I m m 2'
_space_group_IT_number 44
_space_group_name_Hall 'I 2 -2'
_cell_length_a 3.8403
_cell_length_b 12.4954
_cell_length_c 7.6427
_cell_angle_alpha 90.00
_cell_angle_beta 90.00
_cell_angle_gamma 90.00
loop_
_atom_site_label
_atom_site_type_symbol
_atom_site_fract_x
_atom_site_fract_y
_atom_site_fract_z
Er1 Er 0.0000 0.0000 0.0000
I1 I 0.0000 0.3399 0.6596
Cl1 Cl 0.0000 0.5000 0.2579
```

Properties
spin magnetization = 0.0000 μB per atom
relative energy among the computed polymorphs = 51 meV per atom
calculated total energy = -3.988 eV per atom
energy relative to the elements, uncorrected = -155 kJ/mol of atoms

=====

No. 2
The following is a DFT calculation (PBE-GGA) of a relaxed structure of ErICl2.

Structure (CIF):
```
data_ErICl2
_space_group_name_H-M_alt 'C m c m'
_space_group_IT_number 63
_space_group_name_Hall '-C 2c 2'
_cell_length_a 3.8908
_cell_length_b 15.4513
_cell_length_c 8.6963
_cell_angle_alpha 90.00
_cell_angle_beta 90.00
_cell_angle_gamma 90.00
loop_
_atom_site_label
_atom_site_type_symbol
_atom_site_fract_x
_atom_site_fract_y
_atom_site_fract_z
Er1 Er 0.0000 0.2405 0.2500
I1 I 0.0000 0.4089 0.7500
Cl1 Cl 0.0000 0.1783 0.5748
```

Properties
spin magnetization = 0.0000 μB per atom
relative energy among the computed polymorphs = 55 meV per atom
calculated total energy = -4.350 eV per atom
energy relative to the elements, uncorrected = -183 kJ/mol of atoms

=====

No. 3
The following is a DFT calculation (PBE-GGA) of a relaxed structure of ErI3Cl.

Structure (CIF):
```
data_ErI3Cl
_space_group_name_H-M_alt 'I m a 2'
_space_group_IT_number 46
_space_group_name_Hall 'I 2 -2a'
_cell_length_a 12.9711
_cell_length_b 7.0790
_cell_length_c 8.5281
_cell_angle_alpha 90.00
_cell_angle_beta 90.00
_cell_angle_gamma 90.00
loop_
_atom_site_label
_atom_site_type_symbol
_atom_site_fract_x
_atom_site_fract_y
_atom_site_fract_z
Er1 Er 0.2500 0.2490 0.0000
I1 I 0.0141 0.2495 0.9999
I2 I 0.2500 0.5485 0.2493
Cl1 Cl 0.2500 0.0317 0.2505
```

Properties
spin magnetization = 0.0000 μB per atom
calculated total energy = -3.427 eV per atom
energy relative to the elements, uncorrected = -117 kJ/mol of atoms

=====

No. 4
The following is a DFT calculation (PBE-GGA) of a relaxed structure of ErInCl4.

Structure (CIF):
```
data_ErInCl4
_space_group_name_H-M_alt 'C 1 2/c 1'
_space_group_IT_number 15
_space_group_name_Hall '-C 2yc'
_cell_length_a 16.2811
_cell_length_b 6.6059
_cell_length_c 7.3288
_cell_angle_alpha 90.00
_cell_angle_beta 103.52
_cell_angle_gamma 90.00
loop_
_atom_site_label
_atom_site_type_symbol
_atom_site_fract_x
_atom_site_fract_y
_atom_site_fract_z
Er1 Er 0.2500 0.2500 0.0000
In1 In 0.0000 0.2450 0.2500
Cl1 Cl 0.1006 0.0972 0.9579
Cl2 Cl 0.1949 0.4459 0.6771
```

Properties
spin magnetization = 0.0000 μB per atom
calculated total energy = -4.241 eV per atom
energy relative to the elements, uncorrected = -173 kJ/mol of atoms

=====

No. 5
The following is a DFT calculation (PBE-GGA) of a relaxed structure of ErInCl6.

Structure (CIF):
```
data_ErInCl6
_space_group_name_H-M_alt 'C 1 2/m 1'
_space_group_IT_number 12
_space_group_name_Hall '-C 2y'
_cell_length_a 6.4408
_cell_length_b 12.6467
_cell_length_c 6.4389
_cell_angle_alpha 90.00
_cell_angle_beta 107.17
_cell_angle_gamma 90.00
loop_
_atom_site_label
_atom_site_type_symbol
_atom_site_fract_x
_atom_site_fract_y
_atom_site_fract_z
Er1 Er 0.0000 0.0000 0.0000
In1 In 0.0000 0.5000 0.5000
Cl1 Cl 0.2400 0.3606 0.7408
Cl2 Cl 0.2503 0.0000 0.7494
```

Properties
spin magnetization = 0.0000 μB per atom
relative energy among the computed polymorphs = 0 meV per atom
calculated total energy = -3.931 eV per atom
energy relative to the elements, uncorrected = -158 kJ/mol of atoms

=====

No. 6
The following is a DFT calculation (PBE-GGA) of a relaxed structure of ErIn3Cl6.

Structure (CIF):
```
data_ErIn3Cl6
_space_group_name_H-M_alt 'P 1 21/c 1'
_space_group_IT_number 14
_space_group_name_Hall '-P 2ybc'
_cell_length_a 7.2821
_cell_length_b 8.3499
_cell_length_c 12.6653
_cell_angle_alpha 90.00
_cell_angle_beta 121.55
_cell_angle_gamma 90.00
loop_
_atom_site_label
_atom_site_type_symbol
_atom_site_fract_x
_atom_site_fract_y
_atom_site_fract_z
Er1 Er 0.0000 0.0000 0.0000
In1 In 0.2989 0.0723 0.7728
In2 In 0.5000 0.0000 0.5000
Cl1 Cl 0.0982 0.0698 0.2266
Cl2 Cl 0.2414 0.7413 0.0816
Cl3 Cl 0.3386 0.1595 0.0329
```

Properties
spin magnetization = 0.0000 μB per atom
calculated total energy = -3.808 eV per atom
energy relative to the elements, uncorrected = -137 kJ/mol of atoms

=====

No. 7
The following is a DFT calculation (PBE-GGA) of a relaxed structure of ErIn5Cl8.

Structure (CIF):
```
data_ErIn5Cl8
_space_group_name_H-M_alt 'I -4'
_space_group_IT_number 82
_space_group_name_Hall 'I -4'
_cell_length_a 9.1872
_cell_length_b 9.1872
_cell_length_c 9.8101
_cell_angle_alpha 90.00
_cell_angle_beta 90.00
_cell_angle_gamma 90.00
loop_
_atom_site_label
_atom_site_type_symbol
_atom_site_fract_x
_atom_site_fract_y
_atom_site_fract_z
Er1 Er 0.0000 0.0000 0.0000
In1 In 0.0000 0.5000 0.2500
In2 In 0.1064 0.2277 0.6274
Cl1 Cl 0.0600 0.1706 0.2409
Cl2 Cl 0.0730 0.2742 0.9206
```

Properties
spin magnetization = 0.0000 μB per atom
calculated total energy = -3.564 eV per atom
energy relative to the elements, uncorrected = -116 kJ/mol of atoms

=====

No. 8
The following is a DFT calculation (PBE-GGA) of a relaxed structure of Er2In3Cl9.

Structure (CIF):
```
data_Er2In3Cl9
_space_group_name_H-M_alt 'R -3 c'
_space_group_IT_number 167
_space_group_name_Hall '-R 3 2"c'
_cell_length_a 12.9982
_cell_length_b 12.9982
_cell_length_c 18.3412
_cell_angle_alpha 90.00
_cell_angle_beta 90.00
_cell_angle_gamma 120.00
loop_
_atom_site_label
_atom_site_type_symbol
_atom_site_fract_x
_atom_site_fract_y
_atom_site_fract_z
Er1 Er 0.0000 0.0000 0.1462
In1 In 0.0000 0.2938 0.2500
Cl1 Cl 0.0000 0.1515 0.7500
Cl2 Cl 0.0223 0.1882 0.4101
```

Properties
spin magnetization = 0.0000 μB per atom
calculated total energy = -4.062 eV per atom
energy relative to the elements, uncorrected = -158 kJ/mol of atoms